VASP calculation (PBE-GGA) on crystalline Ba2YCu4O8 at its relaxed geometry.

a b c (Å): 14.6734 14.6734 3.8510
angles (deg): 90.00 90.00 164.85
With the nearest neighbours (Å) after each atom.
Atoms (fractional coordinates):
Ba 0.1366 0.8634 0.0000  8 O 2.76-3.00
Ba 0.8634 0.1366 0.0000  8 O 2.76-3.00
Y 0.5000 0.5000 0.5000  2 Cu 2.41, 8 O 2.56-2.59
Cu 0.2851 0.7149 0.5000  4 O 1.86-1.94
Cu 0.4171 0.5829 0.5000  5 O 1.98-2.07
Cu 0.5829 0.4171 0.5000  5 O 1.98-2.07
Cu 0.7149 0.2851 0.5000  4 O 1.86-1.94
O 0.0577 0.9423 0.5000  2 Cu 2.07
O 0.2202 0.7798 0.5000  3 Cu 1.89-1.94
O 0.3490 0.6510 0.5000  2 Cu 1.86-1.98
O 0.4407 0.5593 0.0000  2 Cu 2.04
O 0.5593 0.4407 0.0000  2 Cu 2.04
O 0.6510 0.3490 0.5000  2 Cu 1.86-1.98
O 0.7798 0.2202 0.5000  3 Cu 1.89-1.94
O 0.9423 0.0577 0.5000  2 Cu 2.07

E above lowest polymorph   5.15 eV/f.u.
E_tot   -86.3 eV/cell
Formation energy (no corrections)   -1.329 eV per atom

***

VASP calculation (PBE-GGA) on crystalline Ba6YCu3O11 at its relaxed geometry.

a b c (Å): 11.4628 11.4628 8.1710
angles (deg): 100.26 100.26 20.43
With the nearest neighbours (Å) after each atom.
Atoms (fractional coordinates):
Ba 0.0000 0.0000 0.0000  7 O 2.71-2.94
Ba 0.0004 0.0004 0.4940  7 O 2.72-2.94
Ba 0.1792 0.1792 0.0864  7 O 2.64-2.88
Ba 0.1795 0.1795 0.5864  7 O 2.62-2.89
Ba 0.8072 0.8072 0.3995  7 O 2.72-2.90
Ba 0.8073 0.8073 0.9009  7 O 2.73-2.89
Y 0.3996 0.3996 0.6963  5 O 2.09-2.27
Cu 0.3877 0.3877 0.1905  3 O 1.83-1.99
Cu 0.5980 0.5980 0.2958  4 O 1.84-2.04
Cu 0.5978 0.5978 0.7958  4 O 1.84-2.05
O 0.2982 0.2982 0.1456  1 Cu 1.99
O 0.2977 0.2977 0.6458  1 Y 2.26
O 0.3974 0.3974 0.4176  1 Cu 1.83
O 0.3975 0.3975 0.9732  1 Cu 1.83
O 0.5149 0.5149 0.2542  1 Cu 1.84
O 0.5148 0.5148 0.7542  1 Cu 1.84
O 0.5960 0.5960 0.0455  2 Cu 2.04-2.05
O 0.5959 0.5959 0.5440  2 Cu 2.04-2.05
O 0.6842 0.6842 0.8401  1 Cu 1.92
O 0.6847 0.6847 0.3378  1 Cu 1.92
O 0.9209 0.9209 0.7076  2 Y 2.09

E_tot   -128.3 eV/cell
Formation energy (no corrections)   -2.069 eV per atom

***

VASP calculation (PBE-GGA) on crystalline Ba2YCu3O7 at its relaxed geometry.

a b c (Å): 3.8426 3.9211 11.8467
angles (deg): 90.00 90.00 90.00
With the nearest neighbours (Å) after each atom.
Atoms (fractional coordinates):
Ba 0.0000 0.0000 0.1806  10 O 2.76-3.07
Ba 0.0000 0.0000 0.8194  10 O 2.76-3.07
Y 0.0000 0.0000 0.5000  8 O 2.40-2.42
Cu 0.5000 0.5000 0.0000  4 O 1.88-1.96
Cu 0.5000 0.5000 0.3528  4 O 1.95-1.98
Cu 0.5000 0.5000 0.6472  4 O 1.95-1.98
O 0.0000 0.5000 0.3798  2 Cu 1.95
O 0.0000 0.5000 0.6202  2 Cu 1.95
O 0.5000 0.0000 0.0000  2 Cu 1.96
O 0.5000 0.0000 0.3785  2 Cu 1.98
O 0.5000 0.0000 0.6215  2 Cu 1.98
O 0.5000 0.5000 0.1586  1 Cu 1.88
O 0.5000 0.5000 0.8414  1 Cu 1.88

E_tot   -80.7 eV/cell
Formation energy (no corrections)   -1.801 eV per atom

***

VASP calculation (PBE-GGA) on crystalline Ba3YCu2O6 at its relaxed geometry.

a b c (Å): 6.1917 6.1917 6.9169
angles (deg): 90.00 90.00 120.00
With the nearest neighbours (Å) after each atom.
Atoms (fractional coordinates):
Ba 0.0000 0.0000 0.0000  6 O 2.73
Ba 0.3333 0.6667 0.6550  1 Cu 3.05, 9 O 3.05-3.11
Ba 0.6667 0.3333 0.3450  1 Cu 3.05, 9 O 3.05-3.11
Y 0.0000 0.0000 0.5000  6 O 2.25
Cu 0.3333 0.6667 0.2147  3 O 1.90
Cu 0.6667 0.3333 0.7853  3 O 1.90
O 0.1649 0.3298 0.3000  1 Cu 1.90
O 0.1649 0.8351 0.3000  1 Cu 1.90
O 0.3298 0.1649 0.7000  1 Cu 1.90
O 0.6702 0.8351 0.3000  1 Cu 1.90
O 0.8351 0.1649 0.7000  1 Cu 1.90
O 0.8351 0.6702 0.7000  1 Cu 1.90

E_tot   -74.2 eV/cell
Formation energy (no corrections)   -2.004 eV per atom

***

VASP calculation (PBE-GGA) on crystalline Ba2YCuO5 at its relaxed geometry.

a b c (Å): 7.8382 7.8382 11.1851
angles (deg): 90.00 90.00 153.44
With the nearest neighbours (Å) after each atom.
Atoms (fractional coordinates):
Ba 0.1152 0.8848 0.5000  7 O 2.74-3.06
Ba 0.1300 0.8700 0.1479  7 O 2.72-3.03
Ba 0.8700 0.1300 0.6479  7 O 2.72-3.03
Ba 0.8848 0.1152 0.0000  7 O 2.74-3.06
Y 0.1989 0.8011 0.8456  3 O 2.16-2.29
Y 0.8011 0.1989 0.3456  3 O 2.16-2.29
Cu 0.4494 0.5506 0.2489  4 O 1.89-1.97
Cu 0.5506 0.4494 0.7489  4 O 1.89-1.97
O 0.0404 0.9596 0.8051  2 Cu 1.91
O 0.2994 0.7006 0.4716  2 Y 2.29
O 0.3241 0.6759 0.2052  1 Cu 1.97
O 0.3394 0.6606 0.8257  1 Y 2.16
O 0.4977 0.5023 0.5961  1 Cu 1.89
O 0.5023 0.4977 0.0961  1 Cu 1.89
O 0.6606 0.3394 0.3257  1 Y 2.16
O 0.6759 0.3241 0.7052  1 Cu 1.97
O 0.7006 0.2994 0.9716  2 Y 2.29
O 0.9596 0.0404 0.3051  2 Cu 1.91

E above lowest polymorph   0.00 eV/f.u.
E_tot   -118.0 eV/cell
Formation energy (no corrections)   -2.200 eV per atom

***

VASP calculation (PBE-GGA) on crystalline Ba2YCu2O6 at its relaxed geometry.

a b c (Å): 6.8195 6.8195 6.8195
angles (deg): 52.60 52.60 52.60
With the nearest neighbours (Å) after each atom.
Atoms (fractional coordinates):
Ba 0.2146 0.2146 0.2146  9 O 2.80-3.07
Ba 0.7854 0.7854 0.7854  9 O 2.80-3.07
Y 0.0000 0.0000 0.0000  6 O 2.26
Cu 0.4215 0.4215 0.4215  3 O 1.82
Cu 0.5785 0.5785 0.5785  3 O 1.82
O 0.2317 0.7539 0.7539  1 Cu 1.82
O 0.2461 0.2461 0.7683  1 Cu 1.82
O 0.2461 0.7683 0.2461  1 Cu 1.82
O 0.7539 0.2317 0.7539  1 Cu 1.82
O 0.7539 0.7539 0.2317  1 Cu 1.82
O 0.7683 0.2461 0.2461  1 Cu 1.82

E_tot   -69.2 eV/cell
Formation energy (no corrections)   -1.908 eV per atom

***

VASP calculation (PBE-GGA) on crystalline BaYCu2O5 at its relaxed geometry.

a b c (Å): 3.8909 3.8909 7.6299
angles (deg): 90.00 90.00 90.00
With the nearest neighbours (Å) after each atom.
Atoms (fractional coordinates):
Ba 0.0000 0.0000 0.0000  4 O 2.75
Y 0.0000 0.0000 0.5000  8 O 2.41
Cu 0.5000 0.5000 0.2667  5 O 1.98-2.03
Cu 0.5000 0.5000 0.7333  5 O 1.98-2.03
O 0.0000 0.5000 0.3139  2 Cu 1.98
O 0.0000 0.5000 0.6861  2 Cu 1.98
O 0.5000 0.0000 0.3139  2 Cu 1.98
O 0.5000 0.0000 0.6861  2 Cu 1.98
O 0.5000 0.5000 0.0000  2 Cu 2.03

E_tot   -58.0 eV/cell
Formation energy (no corrections)   -1.851 eV per atom

***

VASP calculation (PBE-GGA) on crystalline Ba2YCu4O8 at its relaxed geometry.

a b c (Å): 13.9273 13.9273 3.8806
angles (deg): 90.00 90.00 163.92
With the nearest neighbours (Å) after each atom.
Atoms (fractional coordinates):
Ba 0.1363 0.8637 0.0000  10 O 2.76-3.03
Ba 0.8637 0.1363 0.0000  10 O 2.76-3.03
Y 0.0000 0.0000 0.0000  8 O 2.41-2.42
Cu 0.2868 0.7132 0.5000  4 O 1.85-1.95
Cu 0.4379 0.5621 0.5000  4 O 1.96-1.97
Cu 0.5621 0.4379 0.5000  4 O 1.96-1.97
Cu 0.7132 0.2868 0.5000  4 O 1.85-1.95
O 0.0521 0.9479 0.5000  2 Cu 1.97
O 0.2182 0.7818 0.5000  3 Cu 1.89-1.95
O 0.3539 0.6461 0.5000  1 Cu 1.85
O 0.4478 0.5522 0.0000  2 Cu 1.96
O 0.5522 0.4478 0.0000  2 Cu 1.96
O 0.6461 0.3539 0.5000  1 Cu 1.85
O 0.7818 0.2182 0.5000  3 Cu 1.89-1.95
O 0.9479 0.0521 0.5000  2 Cu 1.97

E above lowest polymorph   0.00 eV/f.u.
E_tot   -91.4 eV/cell
Formation energy (no corrections)   -1.672 eV per atom

***

VASP calculation (PBE-GGA) on crystalline Ba2YCuO5 at its relaxed geometry.

a b c (Å): 6.0314 6.0314 7.9682
angles (deg): 90.00 90.00 90.00
With the nearest neighbours (Å) after each atom.
Atoms (fractional coordinates):
Ba 0.0000 0.5000 0.2477  10 O 2.91-3.02
Ba 0.0000 0.5000 0.7523  10 O 2.91-3.02
Ba 0.5000 0.0000 0.2477  10 O 2.91-3.02
Ba 0.5000 0.0000 0.7523  10 O 2.91-3.02
Y 0.0000 0.0000 0.0000  4 O 2.13
Y 0.5000 0.5000 0.5000  6 O 2.12-2.35
Cu 0.0000 0.0000 0.5000  4 O 1.92
Cu 0.5000 0.5000 0.0000  2 O 1.86
O 0.2250 0.2250 0.5000  1 Cu 1.92
O 0.2250 0.7750 0.5000  1 Cu 1.92
O 0.2498 0.2498 0.0000  1 Y 2.13, 1 Cu 2.13
O 0.2498 0.7502 0.0000  1 Y 2.13, 1 Cu 2.13
O 0.5000 0.5000 0.2337  1 Cu 1.86
O 0.5000 0.5000 0.7663  1 Cu 1.86
O 0.7502 0.2498 0.0000  1 Y 2.13, 1 Cu 2.13
O 0.7502 0.7502 0.0000  1 Y 2.13, 1 Cu 2.13
O 0.7750 0.2250 0.5000  1 Cu 1.92
O 0.7750 0.7750 0.5000  1 Cu 1.92

E above lowest polymorph   0.64 eV/f.u.
E_tot   -116.7 eV/cell
Formation energy (no corrections)   -2.129 eV per atom

***

VASP calculation (PBE-GGA) on crystalline Ba2YCu3O8 at its relaxed geometry.

a b c (Å): 3.9262 3.9262 11.6326
angles (deg): 90.00 90.00 90.00
With the nearest neighbours (Å) after each atom.
Atoms (fractional coordinates):
Ba 0.0000 0.0000 0.1692  8 O 2.78
Ba 0.0000 0.0000 0.8308  8 O 2.78
Y 0.0000 0.0000 0.5000  8 O 2.41
Cu 0.5000 0.5000 0.0000  6 O 1.96-2.00
Cu 0.5000 0.5000 0.3452  5 O 2.00-2.01
Cu 0.5000 0.5000 0.6548  5 O 2.00-2.01
O 0.0000 0.5000 0.0000  2 Cu 1.96
O 0.0000 0.5000 0.3793  2 Cu 2.00
O 0.0000 0.5000 0.6207  2 Cu 2.00
O 0.5000 0.0000 0.0000  2 Cu 1.96
O 0.5000 0.0000 0.3793  2 Cu 2.00
O 0.5000 0.0000 0.6207  2 Cu 2.00
O 0.5000 0.5000 0.1720  2 Cu 2.00-2.01
O 0.5000 0.5000 0.8280  2 Cu 2.00-2.01

E_tot   -85.3 eV/cell
Formation energy (no corrections)   -1.649 eV per atom

***

VASP calculation (PBE-GGA) on crystalline Ba2YbCu3O7 at its relaxed geometry.

a b c (Å): 3.8399 3.9026 11.8787
angles (deg): 90.00 90.00 90.00
With the nearest neighbours (Å) after each atom.
Atoms (fractional coordinates):
Ba 0.0000 0.0000 0.1823  10 O 2.75-3.03
Ba 0.0000 0.0000 0.8177  10 O 2.75-3.03
Yb 0.0000 0.0000 0.5000  8 O 2.41-2.43
Cu 0.5000 0.5000 0.0000  4 O 1.88-1.95
Cu 0.5000 0.5000 0.3533  4 O 1.94-1.97
Cu 0.5000 0.5000 0.6467  4 O 1.94-1.97
O 0.0000 0.5000 0.3777  2 Cu 1.94
O 0.0000 0.5000 0.6223  2 Cu 1.94
O 0.5000 0.0000 0.0000  2 Cu 1.95
O 0.5000 0.0000 0.3772  2 Cu 1.97
O 0.5000 0.0000 0.6228  2 Cu 1.97
O 0.5000 0.5000 0.1579  1 Cu 1.88
O 0.5000 0.5000 0.8421  1 Cu 1.88

E_tot   -74.0 eV/cell
Formation energy (no corrections)   -1.667 eV per atom

***

VASP calculation (PBE-GGA) on crystalline BaYb2CuO5 at its relaxed geometry.

a b c (Å): 12.2045 5.6573 7.2967
angles (deg): 90.00 90.00 90.00
With the nearest neighbours (Å) after each atom.
Atoms (fractional coordinates):
Ba 0.0977 0.2500 0.0632  3 O 2.61-2.83
Ba 0.4023 0.7500 0.5632  3 O 2.61-2.83
Ba 0.5977 0.2500 0.4368  3 O 2.61-2.83
Ba 0.9023 0.7500 0.9368  3 O 2.61-2.83
Yb 0.0727 0.7500 0.3893  7 O 2.27-2.46
Yb 0.2138 0.2500 0.6086  7 O 2.31-2.37
Yb 0.2862 0.7500 0.1086  7 O 2.31-2.37
Yb 0.4273 0.2500 0.8893  7 O 2.27-2.46
Yb 0.5727 0.7500 0.1107  7 O 2.27-2.46
Yb 0.7138 0.2500 0.8914  7 O 2.31-2.37
Yb 0.7862 0.7500 0.3914  7 O 2.31-2.37
Yb 0.9273 0.2500 0.6107  7 O 2.27-2.46
Cu 0.1611 0.7500 0.7746  4 O 1.92-1.95
Cu 0.3389 0.2500 0.2746  4 O 1.92-1.95
Cu 0.6611 0.7500 0.7254  4 O 1.92-1.95
Cu 0.8389 0.2500 0.2254  4 O 1.92-1.95
O 0.0694 0.5133 0.6639  1 Cu 1.92
O 0.0694 0.9867 0.6639  1 Cu 1.92
O 0.0980 0.7500 0.0805  2 Yb 2.27-2.31, 1 Cu 2.36
O 0.2327 0.0098 0.3478  1 Cu 1.95
O 0.2327 0.4902 0.3478  1 Cu 1.95
O 0.2673 0.5098 0.8478  1 Cu 1.95
O 0.2673 0.9902 0.8478  1 Cu 1.95
O 0.4020 0.2500 0.5805  2 Yb 2.27-2.31, 1 Cu 2.36
O 0.4306 0.0133 0.1639  1 Cu 1.92
O 0.4306 0.4867 0.1639  1 Cu 1.92
O 0.5694 0.5133 0.8361  1 Cu 1.92
O 0.5694 0.9867 0.8361  1 Cu 1.92
O 0.5980 0.7500 0.4195  2 Yb 2.27-2.31, 1 Cu 2.36
O 0.7327 0.0098 0.1522  1 Cu 1.95
O 0.7327 0.4902 0.1522  1 Cu 1.95
O 0.7673 0.5098 0.6522  1 Cu 1.95
O 0.7673 0.9902 0.6522  1 Cu 1.95
O 0.9020 0.2500 0.9195  2 Yb 2.27-2.31, 1 Cu 2.36
O 0.9306 0.0133 0.3361  1 Cu 1.92
O 0.9306 0.4867 0.3361  1 Cu 1.92

E_tot   -218.0 eV/cell
Formation energy (no corrections)   -2.292 eV per atom

***

> Which of these has the highest formation energy (no corrections)?

number 1

***

What did the ninth record say?
VASP calculation (PBE-GGA) on crystalline Ba2YCuO5 at its relaxed geometry.

a b c (Å): 6.0314 6.0314 7.9682
angles (deg): 90.00 90.00 90.00
With the nearest neighbours (Å) after each atom.
Atoms (fractional coordinates):
Ba 0.0000 0.5000 0.2477  10 O 2.91-3.02
Ba 0.0000 0.5000 0.7523  10 O 2.91-3.02
Ba 0.5000 0.0000 0.2477  10 O 2.91-3.02
Ba 0.5000 0.0000 0.7523  10 O 2.91-3.02
Y 0.0000 0.0000 0.0000  4 O 2.13
Y 0.5000 0.5000 0.5000  6 O 2.12-2.35
Cu 0.0000 0.0000 0.5000  4 O 1.92
Cu 0.5000 0.5000 0.0000  2 O 1.86
O 0.2250 0.2250 0.5000  1 Cu 1.92
O 0.2250 0.7750 0.5000  1 Cu 1.92
O 0.2498 0.2498 0.0000  1 Y 2.13, 1 Cu 2.13
O 0.2498 0.7502 0.0000  1 Y 2.13, 1 Cu 2.13
O 0.5000 0.5000 0.2337  1 Cu 1.86
O 0.5000 0.5000 0.7663  1 Cu 1.86
O 0.7502 0.2498 0.0000  1 Y 2.13, 1 Cu 2.13
O 0.7502 0.7502 0.0000  1 Y 2.13, 1 Cu 2.13
O 0.7750 0.2250 0.5000  1 Cu 1.92
O 0.7750 0.7750 0.5000  1 Cu 1.92

E above lowest polymorph   0.64 eV/f.u.
E_tot   -116.7 eV/cell
Formation energy (no corrections)   -2.129 eV per atom